Model 1:
Below is a relaxed Nd2Er3Th2 crystal, with properties calculated at the GGA-PBE level.

Values from the calculation:
* crystal system: monoclinic

Lattice parameters (Å, degrees): 17.625 3.450 8.617 90.00 119.24 90.00
Space group C2/m (No. 12)
One atom of each set of equivalent atoms:
Nd (0.063, 0.000, 0.410) (multiplicity 4)
Er (0.000, 0.500, 0.000) (multiplicity 2)
Er (0.216, 0.500, 0.299) (multiplicity 4)
Th (0.154, 0.500, 0.854) (multiplicity 4)

---

Model 2:
Below is a relaxed Nd2Er3Th2 crystal, with properties calculated at the GGA-PBE level.

Values from the calculation:
* crystal system: triclinic

Lattice parameters (Å, degrees): 3.598 7.973 8.702 110.36 90.01 103.02
Space group P-1 (No. 2)
One atom of each set of equivalent atoms:
Nd (0.217, 0.433, 0.143) (multiplicity 2)
Er (0.361, 0.724, 0.565) (multiplicity 2)
Er (0.500, 0.000, 0.000) (multiplicity 1)
Th (0.067, 0.135, 0.711) (multiplicity 2)

---

Which of them is the most stable? Correct choice: model 2.

---

Model 1:
Below is a relaxed Nd5Er4Th crystal, with properties calculated at the GGA-PBE level.

Values from the calculation:
* crystal system: monoclinic

Lattice parameters (Å, degrees): 18.245 3.576 10.593 90.00 96.75 90.00
Space group C2/m (No. 12)
One atom of each set of equivalent atoms:
Nd (0.000, 0.000, 0.000) (multiplicity 2)
Nd (0.139, 0.500, 0.720) (multiplicity 4)
Nd (0.190, 0.500, 0.098) (multiplicity 4)
Er (0.047, 0.500, 0.262) (multiplicity 4)
Er (0.181, 0.000, 0.416) (multiplicity 4)
Th (0.000, 0.000, 0.500) (multiplicity 2)

---

Model 2:
Below is a relaxed Nd5Er4Th crystal, with properties calculated at the GGA-PBE level.

Values from the calculation:
* crystal system: monoclinic

Lattice parameters (Å, degrees): 17.121 3.549 11.529 90.00 108.61 90.00
Space group C2/m (No. 12)
One atom of each set of equivalent atoms:
Nd (0.000, 0.000, 0.000) (multiplicity 2)
Nd (0.190, 0.500, 0.081) (multiplicity 4)
Nd (0.203, 0.500, 0.611) (multiplicity 4)
Er (0.081, 0.500, 0.296) (multiplicity 4)
Er (0.105, 0.000, 0.798) (multiplicity 4)
Th (0.000, 0.000, 0.500) (multiplicity 2)

---

Which of them is the most stable? Correct choice: model 2.

---

Model 1:
Below is a relaxed Nd2Er8Th3 crystal, with properties calculated at the GGA-PBE level.

Values from the calculation:
* crystal system: orthorhombic

Lattice parameters (Å, degrees): 7.853 20.289 5.495 90.00 90.00 90.00
Space group Cmmm (No. 65)
One atom of each set of equivalent atoms:
Nd (0.000, 0.238, 0.000) (multiplicity 4)
Er (0.000, 0.124, 0.500) (multiplicity 4)
Er (0.000, 0.337, 0.500) (multiplicity 4)
Er (0.204, 0.394, 0.000) (multiplicity 8)
Th (0.000, 0.000, 0.000) (multiplicity 2)
Th (0.202, 0.500, 0.500) (multiplicity 4)

---

Model 2:
Below is a relaxed Nd2Er8Th3 crystal, with properties calculated at the GGA-PBE level.

Values from the calculation:
* crystal system: monoclinic

Lattice parameters (Å, degrees): 22.975 6.752 5.606 90.00 104.04 90.00
Space group C2/m (No. 12)
One atom of each set of equivalent atoms:
Nd (0.225, 0.000, 0.225) (multiplicity 4)
Er (0.075, 0.000, 0.076) (multiplicity 4)
Er (0.148, 0.241, 0.648) (multiplicity 8)
Er (0.178, 0.500, 0.178) (multiplicity 4)
Th (0.000, 0.232, 0.500) (multiplicity 4)
Th (0.000, 0.500, 0.000) (multiplicity 2)

---

Which of them is the most stable? Correct choice: model 2.

---

Model 1:
Below is a relaxed Nd4ErTl crystal, with properties calculated at the GGA-PBE level.

Values from the calculation:
* crystal system: monoclinic

Lattice parameters (Å, degrees): 8.967 14.410 6.597 90.00 109.70 90.00
Space group C2/c (No. 15)
One atom of each set of equivalent atoms:
Nd (0.097, 0.190, 0.045) (multiplicity 8)
Nd (0.212, 0.381, 0.378) (multiplicity 8)
Er (0.000, 0.411, 0.750) (multiplicity 4)
Tl (0.000, 0.001, 0.750) (multiplicity 4)

---

Model 2:
Below is a relaxed Nd4ErTl crystal, with properties calculated at the GGA-PBE level.

Values from the calculation:
* crystal system: tetragonal

Lattice parameters (Å, degrees): 3.683 3.683 14.539 90.00 90.00 90.00
Space group P4/mmm (No. 123)
One atom of each set of equivalent atoms:
Nd (0.000, 0.000, 0.149) (multiplicity 2)
Nd (0.500, 0.500, 0.328) (multiplicity 2)
Er (0.000, 0.000, 0.500) (multiplicity 1)
Tl (0.500, 0.500, 0.000) (multiplicity 1)

---

Which of them is the most stable? Correct choice: model 2.

---

Model 1:
Below is a relaxed NdEr2Tl2 crystal, with properties calculated at the GGA-PBE level.

Values from the calculation:
* crystal system: triclinic

Lattice parameters (Å, degrees): 5.274 6.628 9.251 103.14 90.08 113.41
Space group P-1 (No. 2)
One atom of each set of equivalent atoms:
Nd (0.066, 0.134, 0.352) (multiplicity 2)
Er (0.251, 0.504, 0.754) (multiplicity 2)
Er (0.427, 0.858, 0.137) (multiplicity 2)
Tl (0.138, 0.273, 0.039) (multiplicity 2)
Tl (0.366, 0.730, 0.444) (multiplicity 2)

---

Model 2:
Below is a relaxed NdEr2Tl2 crystal, with properties calculated at the GGA-PBE level.

Values from the calculation:
* crystal system: monoclinic

Lattice parameters (Å, degrees): 3.783 5.456 14.153 90.00 97.70 90.00
Space group P2_1/m (No. 11)
One atom of each set of equivalent atoms:
Nd (0.147, 0.250, 0.297) (multiplicity 2)
Er (0.050, 0.750, 0.100) (multiplicity 2)
Er (0.237, 0.750, 0.474) (multiplicity 2)
Tl (0.356, 0.250, 0.711) (multiplicity 2)
Tl (0.453, 0.750, 0.908) (multiplicity 2)

---

Which of them is the most stable? Correct choice: model 1.

---

Model 1:
Below is a relaxed Nd3Er3Tl2 crystal, with properties calculated at the GGA-PBE level.

Values from the calculation:
* crystal system: orthorhombic

Lattice parameters (Å, degrees): 5.106 11.980 16.642 90.00 90.00 90.00
Space group Cmcm (No. 63)
One atom of each set of equivalent atoms:
Nd (0.000, 0.047, 0.104) (multiplicity 8)
Nd (0.000, 0.283, 0.250) (multiplicity 4)
Er (0.000, 0.365, 0.041) (multiplicity 8)
Er (0.000, 0.434, 0.750) (multiplicity 4)
Tl (0.000, 0.236, 0.624) (multiplicity 8)

---

Model 2:
Below is a relaxed Nd3Er3Tl2 crystal, with properties calculated at the GGA-PBE level.

Values from the calculation:
* crystal system: orthorhombic

Lattice parameters (Å, degrees): 4.861 4.884 9.952 90.00 90.00 90.00
Space group Pmmm (No. 47)
One atom of each set of equivalent atoms:
Nd (0.000, 0.000, 0.000) (multiplicity 1)
Nd (0.000, 0.000, 0.500) (multiplicity 1)
Nd (0.500, 0.500, 0.000) (multiplicity 1)
Er (0.500, 0.000, 0.253) (multiplicity 2)
Er (0.500, 0.500, 0.500) (multiplicity 1)
Tl (0.000, 0.500, 0.254) (multiplicity 2)

---

Which of them is the most stable? Correct choice: model 2.

---

Model 1:
Below is a relaxed Nd2Er3Tl crystal, with properties calculated at the GGA-PBE level.

Values from the calculation:
* crystal system: orthorhombic

Lattice parameters (Å, degrees): 4.879 15.235 4.928 90.00 90.00 90.00
Space group Cmmm (No. 65)
One atom of each set of equivalent atoms:
Nd (0.000, 0.162, 0.000) (multiplicity 4)
Er (0.000, 0.000, 0.500) (multiplicity 2)
Er (0.000, 0.334, 0.500) (multiplicity 4)
Tl (0.000, 0.500, 0.000) (multiplicity 2)

---

Model 2:
Below is a relaxed Nd2Er3Tl crystal, with properties calculated at the GGA-PBE level.

Values from the calculation:
* crystal system: orthorhombic

Lattice parameters (Å, degrees): 3.457 17.555 6.451 90.00 90.00 90.00
Space group Imm2 (No. 44)
One atom of each set of equivalent atoms:
Nd (0.000, 0.190, 0.000) (multiplicity 4)
Er (0.000, 0.134, 0.493) (multiplicity 4)
Er (0.000, 0.500, 0.697) (multiplicity 2)
Tl (0.000, 0.000, 0.782) (multiplicity 2)

---

Which of them is the most stable? Correct choice: model 1.

---

Model 1:
Below is a relaxed Nd2Er5Tl crystal, with properties calculated at the GGA-PBE level.

Values from the calculation:
* crystal system: tetragonal

Lattice parameters (Å, degrees): 4.902 4.902 20.298 90.00 90.00 90.00
Space group I4/mmm (No. 139)
One atom of each set of equivalent atoms:
Nd (0.000, 0.000, 0.243) (multiplicity 4)
Er (0.000, 0.000, 0.000) (multiplicity 2)
Er (0.000, 0.500, 0.119) (multiplicity 8)
Tl (0.000, 0.000, 0.500) (multiplicity 2)

---

Model 2:
Below is a relaxed Nd2Er5Tl crystal, with properties calculated at the GGA-PBE level.

Values from the calculation:
* crystal system: monoclinic

Lattice parameters (Å, degrees): 11.230 7.100 8.292 90.00 132.13 90.00
Space group Cm (No. 8)
One atom of each set of equivalent atoms:
Nd (0.000, 0.000, 0.000) (multiplicity 2)
Nd (0.112, 0.000, 0.687) (multiplicity 2)
Er (0.076, 0.500, 0.686) (multiplicity 2)
Er (0.256, 0.262, 0.514) (multiplicity 4)
Er (0.340, 0.249, 0.179) (multiplicity 4)
Tl (0.021, 0.500, 0.037) (multiplicity 2)

---

Which of them is the most stable? Correct choice: model 2.